No. 1
First-principles (PBE) data for a relaxed Ga4CoCu crystal, as listed in the Alexandria database. Values from VASP.

Cell and atoms, written as Quantum ESPRESSO input:
```
&SYSTEM
  ibrav = 0, nat = 12, ntyp = 3
/
ATOMIC_SPECIES
Cu 63.55 Cu.upf
Co 58.93 Co.upf
Ga 69.72 Ga.upf
CELL_PARAMETERS angstrom
-4.699 -2.845 -1.814
2.448 -0.728 -5.192
3.421 -3.136 5.276
ATOMIC_POSITIONS crystal
Cu 0.375 0.625 0.250
Cu 0.625 0.375 0.750
Co 0.875 0.125 0.250
Co 0.125 0.875 0.750
Ga 0.236 0.500 0.500
Ga 0.236 0.001 0.500
Ga 0.500 0.764 0.000
Ga 0.999 0.764 0.000
Ga 0.001 0.236 0.000
Ga 0.764 0.500 0.500
Ga 0.764 0.999 0.500
Ga 0.500 0.236 0.000
```

Summary:
For the total energy, the calculation gives -4.037 eV per atom. Its formation energy is -0.91 eV/f.u.


No. 2
First-principles (PBE) data for a relaxed Ga4Co5Cu crystal, as listed in the Alexandria database. Values from VASP.

Cell and atoms, written as Quantum ESPRESSO input:
```
&SYSTEM
  ibrav = 0, nat = 10, ntyp = 3
/
ATOMIC_SPECIES
Co 58.93 Co.upf
Ga 69.72 Ga.upf
Cu 63.55 Cu.upf
CELL_PARAMETERS angstrom
-0.797 -1.064 2.561
1.521 -2.396 -0.522
11.442 5.951 6.033
ATOMIC_POSITIONS crystal
Co 0.500 0.500 0.500
Co 0.500 0.500 0.100
Co 0.500 0.500 0.701
Co 0.500 0.500 0.900
Co 0.500 0.500 0.299
Ga 0.000 0.000 0.399
Ga 0.000 0.000 0.194
Ga 0.000 0.000 0.601
Ga 0.000 0.000 0.806
Cu 0.000 0.000 0.000
```

Summary:
For the total energy, the calculation gives -5.347 eV per atom. Its formation energy is -1.74 eV/f.u.


No. 3
First-principles (PBE) data for a relaxed Ga3CoCu crystal, as listed in the Alexandria database. Values from VASP.

Cell and atoms, written as Quantum ESPRESSO input:
```
&SYSTEM
  ibrav = 0, nat = 5, ntyp = 3
/
ATOMIC_SPECIES
Ga 69.72 Ga.upf
Cu 63.55 Cu.upf
Co 58.93 Co.upf
CELL_PARAMETERS angstrom
4.502 0.000 0.000
0.000 4.502 0.000
0.000 0.000 4.502
ATOMIC_POSITIONS crystal
Ga 0.000 0.000 0.500
Ga 0.500 0.000 0.000
Ga 0.000 0.500 0.000
Cu 0.500 0.500 0.500
Co 0.000 0.000 0.000
```

Summary:
For the total energy, the calculation gives -3.910 eV per atom. Its formation energy is 0.73 eV/f.u.


No. 4
First-principles (PBE) data for a relaxed Ga2CoCu crystal, as listed in the Alexandria database. Values from VASP.

Cell and atoms, written as Quantum ESPRESSO input:
```
&SYSTEM
  ibrav = 0, nat = 4, ntyp = 3
/
ATOMIC_SPECIES
Ga 69.72 Ga.upf
Cu 63.55 Cu.upf
Co 58.93 Co.upf
CELL_PARAMETERS angstrom
-0.553 -1.035 -2.680
-1.595 -2.159 1.163
-4.938 3.474 -0.323
ATOMIC_POSITIONS crystal
Ga 0.000 0.000 0.234
Ga 0.000 0.000 0.766
Cu 0.500 0.500 0.500
Co 0.500 0.500 0.000
```

Summary:
For the total energy, the calculation gives -4.451 eV per atom. Its formation energy is -0.55 eV/f.u.


No. 5
First-principles (PBE) data for a relaxed GaCoCu2 crystal, as listed in the Alexandria database. Values from VASP.

Cell and atoms, written as Quantum ESPRESSO input:
```
&SYSTEM
  ibrav = 0, nat = 4, ntyp = 3
/
ATOMIC_SPECIES
Cu 63.55 Cu.upf
Co 58.93 Co.upf
Ga 69.72 Ga.upf
CELL_PARAMETERS angstrom
3.834 0.000 0.000
0.000 3.545 0.000
0.000 0.000 3.545
ATOMIC_POSITIONS crystal
Cu 0.000 0.500 0.000
Cu 0.000 0.000 0.500
Co 0.500 0.500 0.500
Ga 0.500 0.000 0.000
```

Summary:
For the total energy, the calculation gives -4.675 eV per atom. Its formation energy is -0.37 eV/f.u.


No. 6
First-principles (PBE) data for a relaxed GaCo2Cu2 crystal, as listed in the Alexandria database. Values from VASP.

Cell and atoms, written as Quantum ESPRESSO input:
```
&SYSTEM
  ibrav = 0, nat = 10, ntyp = 3
/
ATOMIC_SPECIES
Co 58.93 Co.upf
Cu 63.55 Cu.upf
Ga 69.72 Ga.upf
CELL_PARAMETERS angstrom
-0.023 -5.401 2.550
5.114 -1.335 -2.782
1.859 1.309 2.789
ATOMIC_POSITIONS crystal
Co 0.132 0.368 0.000
Co 0.368 0.868 0.000
Co 0.632 0.132 0.000
Co 0.868 0.632 0.000
Cu 0.164 0.664 0.500
Cu 0.336 0.164 0.500
Cu 0.836 0.336 0.500
Cu 0.664 0.836 0.500
Ga 0.500 0.500 0.000
Ga 0.000 0.000 0.000
```

Summary:
For the total energy, the calculation gives -4.907 eV per atom. Its formation energy is 0.90 eV/f.u.


No. 7
First-principles (PBE) data for a relaxed Ga8Co3Cu2 crystal, as listed in the Alexandria database. Values from VASP.

Cell and atoms, written as Quantum ESPRESSO input:
```
&SYSTEM
  ibrav = 0, nat = 13, ntyp = 3
/
ATOMIC_SPECIES
Ga 69.72 Ga.upf
Co 58.93 Co.upf
Cu 63.55 Cu.upf
CELL_PARAMETERS angstrom
-3.126 -2.014 -1.759
0.991 -6.154 5.288
-4.132 5.575 0.958
ATOMIC_POSITIONS crystal
Ga 0.000 0.127 0.254
Ga 0.500 0.859 0.242
Ga 0.500 0.618 0.760
Ga 0.500 0.382 0.240
Ga 0.500 0.141 0.758
Ga 0.000 0.873 0.746
Ga 0.000 0.617 0.236
Ga 0.000 0.383 0.764
Co 0.500 0.000 0.000
Co 0.000 0.759 0.001
Co 0.000 0.241 0.999
Cu 0.500 0.246 0.491
Cu 0.500 0.754 0.509
```

Summary:
For the total energy, the calculation gives -4.317 eV per atom. Its formation energy is -2.39 eV/f.u.


No. 8
First-principles (PBE) data for a relaxed Ga2CoCu2 crystal, as listed in the Alexandria database. Values from VASP.

Cell and atoms, written as Quantum ESPRESSO input:
```
&SYSTEM
  ibrav = 0, nat = 10, ntyp = 3
/
ATOMIC_SPECIES
Co 58.93 Co.upf
Cu 63.55 Cu.upf
Ga 69.72 Ga.upf
CELL_PARAMETERS angstrom
6.943 0.000 0.000
0.000 6.943 0.000
0.000 0.000 2.769
ATOMIC_POSITIONS crystal
Co 0.000 0.000 0.000
Co 0.500 0.500 0.000
Cu 0.125 0.375 0.000
Cu 0.625 0.125 0.000
Cu 0.875 0.625 0.000
Cu 0.375 0.875 0.000
Ga 0.676 0.824 0.500
Ga 0.176 0.676 0.500
Ga 0.324 0.176 0.500
Ga 0.824 0.324 0.500
```

Summary:
For the total energy, the calculation gives -4.149 eV per atom. Its formation energy is 0.61 eV/f.u.


No. 9
First-principles (PBE) data for a relaxed Ga2CoCu crystal, as listed in the Alexandria database. Values from VASP.

Cell and atoms, written as Quantum ESPRESSO input:
```
&SYSTEM
  ibrav = 0, nat = 4, ntyp = 3
/
ATOMIC_SPECIES
Co 58.93 Co.upf
Ga 69.72 Ga.upf
Cu 63.55 Cu.upf
CELL_PARAMETERS angstrom
2.805 0.000 0.000
1.402 2.429 0.000
1.402 0.810 7.886
ATOMIC_POSITIONS crystal
Co 0.666 0.666 0.001
Ga 0.254 0.254 0.237
Ga 0.079 0.079 0.764
Cu 0.501 0.501 0.498
```

Summary:
For the total energy, the calculation gives -4.386 eV per atom. Its formation energy is -0.29 eV/f.u.


No. 10
First-principles (PBE) data for a relaxed GaCo2CuH crystal, as listed in the Alexandria database. Values from VASP.

Cell and atoms, written as Quantum ESPRESSO input:
```
&SYSTEM
  ibrav = 0, nat = 5, ntyp = 4
/
ATOMIC_SPECIES
Co 58.93 Co.upf
Cu 63.55 Cu.upf
Ga 69.72 Ga.upf
H 1.01 H.upf
CELL_PARAMETERS angstrom
3.680 0.000 0.000
0.000 3.680 0.000
0.000 0.000 3.600
ATOMIC_POSITIONS crystal
Co 0.500 0.000 0.000
Co 0.000 0.500 0.000
Cu 0.000 0.000 0.500
Ga 0.500 0.500 0.500
H 0.000 0.000 0.000
```

Summary:
For the total energy, the calculation gives -4.992 eV per atom.


No. 11
First-principles (PBE) data for a relaxed GaCoCu2H crystal, as listed in the Alexandria database. Values from VASP.

Cell and atoms, written as Quantum ESPRESSO input:
```
&SYSTEM
  ibrav = 0, nat = 5, ntyp = 4
/
ATOMIC_SPECIES
Cu 63.55 Cu.upf
Co 58.93 Co.upf
Ga 69.72 Ga.upf
H 1.01 H.upf
CELL_PARAMETERS angstrom
3.715 0.000 0.000
0.000 3.715 0.000
0.000 0.000 3.665
ATOMIC_POSITIONS crystal
Cu 0.500 0.000 0.000
Cu 0.000 0.500 0.000
Co 0.000 0.000 0.500
Ga 0.500 0.500 0.500
H 0.000 0.000 0.000
```

Summary:
For the total energy, the calculation gives -4.365 eV per atom.


No. 12
First-principles (PBE) data for a relaxed Ga2CoCuH crystal, as listed in the Alexandria database. Values from VASP.

Cell and atoms, written as Quantum ESPRESSO input:
```
&SYSTEM
  ibrav = 0, nat = 5, ntyp = 4
/
ATOMIC_SPECIES
Ga 69.72 Ga.upf
Co 58.93 Co.upf
H 1.01 H.upf
Cu 63.55 Cu.upf
CELL_PARAMETERS angstrom
4.219 0.000 0.000
0.000 3.140 0.000
0.000 0.000 4.219
ATOMIC_POSITIONS crystal
Ga 0.500 0.000 0.000
Ga 0.000 0.000 0.500
Co 0.000 0.500 0.000
H 0.000 0.000 0.000
Cu 0.500 0.500 0.500
```

Summary:
For the total energy, the calculation gives -4.042 eV per atom.